# 1
! UBiPdAu PBE relaxed; values from VASP
&SYSTEM
  ibrav = 0, nat = 4, ntyp = 4
/
ATOMIC_SPECIES
Bi 208.98 Bi.upf
Pd 106.42 Pd.upf
U 238.03 U.upf
Au 196.97 Au.upf
ATOMIC_POSITIONS crystal
Bi 0.7500 0.7500 0.7500
Pd 0.5000 0.5000 0.5000
U 0.2500 0.2500 0.2500
Au 0.0000 0.0000 0.0000
CELL_PARAMETERS angstrom
-2.4940 4.3189 -0.5249
-4.0415 0.2178 -2.9609
-4.5612 0.5228 2.0176
! DOS(E_F): 8.218 states/eV per cell
! Space-group type: F-43m (216)
! Crystal system: cubic
! Energy: -6.0916 eV/atom

***

# 2
! TaTlGe3 PBE relaxed; values from VASP
&SYSTEM
  ibrav = 0, nat = 5, ntyp = 3
/
ATOMIC_SPECIES
Ta 180.95 Ta.upf
Ge 72.64 Ge.upf
Tl 204.38 Tl.upf
ATOMIC_POSITIONS crystal
Ta 0.0000 0.0000 0.0000
Ge 0.5000 0.0000 0.0000
Ge 0.0000 0.5000 0.0000
Ge 0.0000 0.0000 0.5000
Tl 0.5000 0.5000 0.5000
CELL_PARAMETERS angstrom
-4.3256 -2.6493 -0.3025
2.0650 -3.6928 2.8142
-1.6871 2.2727 4.2201
! DOS(E_F): 2.643 states/eV per cell
! Space-group type: Pm-3m (221)
! Distance to the lowest polymorph of the same formula: 0 meV/atom
! Crystal system: cubic

***

# 3
! AcGaHg3 PBE relaxed; values from VASP
&SYSTEM
  ibrav = 0, nat = 5, ntyp = 3
/
ATOMIC_SPECIES
Ga 69.72 Ga.upf
Ac 227.00 Ac.upf
Hg 200.59 Hg.upf
ATOMIC_POSITIONS crystal
Ga 0.7791 0.7791 0.5581
Ac 0.3952 0.3952 0.7905
Hg 0.1582 0.6580 0.3161
Hg 0.0064 0.0064 0.0130
Hg 0.6580 0.1582 0.3161
CELL_PARAMETERS angstrom
-3.5961 -1.2536 2.8934
2.9499 -2.8955 2.4062
1.6601 6.3608 0.8696
! DOS(E_F): 2.171 states/eV per cell
! Space-group type: I4mm (107)
! Crystal system: tetragonal
! Energy: -1.9476 eV/atom

***

# 4
! MnCr2Ir PBE relaxed; values from VASP
&SYSTEM
  ibrav = 0, nat = 4, ntyp = 3
/
ATOMIC_SPECIES
Ir 192.22 Ir.upf
Cr 52.00 Cr.upf
Mn 54.94 Mn.upf
ATOMIC_POSITIONS crystal
Ir 0.5000 0.5000 0.5000
Cr 0.0000 0.0000 0.0000
Cr 0.2500 0.2500 0.2500
Mn 0.7500 0.7500 0.7500
CELL_PARAMETERS angstrom
4.2131 0.0000 0.0000
2.1066 3.6487 0.0000
2.1066 1.2162 3.4400
! DOS(E_F): 4.463 states/eV per cell
! Space-group type: F-43m (216)
! Crystal system: cubic
! Energy: -9.3375 eV/atom

***

# 5
! InAg8Au4 PBE relaxed; values from VASP
&SYSTEM
  ibrav = 0, nat = 13, ntyp = 3
/
ATOMIC_SPECIES
Au 196.97 Au.upf
Ag 107.87 Ag.upf
In 114.82 In.upf
ATOMIC_POSITIONS crystal
Au 0.0000 0.0000 0.0718
Au 0.5000 0.5000 0.4321
Au 0.0000 0.5000 0.6411
Au 0.5000 0.0000 0.8771
Ag 0.0000 0.5000 0.2120
Ag 0.0000 0.0000 0.5009
Ag 0.0000 0.5000 0.9277
Ag 0.5000 0.5000 0.7337
Ag 0.5000 0.5000 0.0208
Ag 0.5000 0.0000 0.5881
Ag 0.0000 0.0000 0.7842
Ag 0.5000 0.0000 0.1661
In 0.0000 0.0000 0.3474
CELL_PARAMETERS angstrom
-2.0767 -3.5008 -2.3390
-0.1445 -1.5619 2.4659
-16.2006 7.1984 3.6097
! DOS(E_F): 5.893 states/eV per cell
! Space-group type: Pmm2 (25)
! Crystal system: orthorhombic
! Energy: -2.9698 eV/atom

***

# 6
! LaNiSe2 PBE relaxed; values from VASP
&SYSTEM
  ibrav = 0, nat = 4, ntyp = 3
/
ATOMIC_SPECIES
Ni 58.69 Ni.upf
La 138.91 La.upf
Se 78.96 Se.upf
ATOMIC_POSITIONS crystal
Ni 0.1885 0.6885 0.5000
La 0.5021 0.5021 0.0000
Se 0.0443 0.0443 0.0000
Se 0.7651 0.2651 0.5000
CELL_PARAMETERS angstrom
5.7345 0.0135 -0.0029
2.5183 5.1520 0.0029
-3.8347 -3.0489 2.9807
! DOS(E_F): 3.261 states/eV per cell
! Space-group type: Imm2 (44)
! Crystal system: orthorhombic
! Formation energy from raw total energies: -3.328 eV per formula unit

***

# 7
! Ba2EuEr PBE relaxed; values from VASP
&SYSTEM
  ibrav = 0, nat = 4, ntyp = 3
/
ATOMIC_SPECIES
Ba 137.33 Ba.upf
Eu 151.96 Eu.upf
Er 167.26 Er.upf
ATOMIC_POSITIONS crystal
Ba 0.0000 0.0000 0.2232
Ba 0.0000 0.0000 0.7768
Eu 0.5000 0.5000 0.5000
Er 0.5000 0.5000 0.0000
CELL_PARAMETERS angstrom
-4.2537 -0.7199 0.6912
0.8965 -4.0859 1.2615
1.0135 3.1666 9.5357
! DOS(E_F): 5.329 states/eV per cell
! Space-group type: P4/mmm (123)
! Crystal system: tetragonal
! Energy: -4.4623 eV/atom

***

# 8
! Pr2TmHfP4 PBE relaxed; values from VASP
&SYSTEM
  ibrav = 0, nat = 8, ntyp = 4
/
ATOMIC_SPECIES
P 30.97 P.upf
Hf 178.49 Hf.upf
Pr 140.91 Pr.upf
Tm 168.93 Tm.upf
ATOMIC_POSITIONS crystal
P 0.5000 0.2332 0.2228
P 0.0000 0.2488 0.7726
P 0.0000 0.7512 0.2274
P 0.5000 0.7668 0.7772
Hf 0.0000 0.0000 0.0000
Pr 0.5000 0.0000 0.5000
Pr 0.0000 0.5000 0.5000
Tm 0.5000 0.5000 0.0000
CELL_PARAMETERS angstrom
3.9905 0.0000 0.0000
0.0000 6.9168 0.1296
0.0000 -2.4083 6.5224
! DOS(E_F): 1.422 states/eV per cell
! Space-group type: P2/m (10)
! Crystal system: monoclinic
! Energy: -7.1741 eV/atom

***

# 9
! Tm2ScAg4 PBE relaxed; values from VASP
&SYSTEM
  ibrav = 0, nat = 7, ntyp = 3
/
ATOMIC_SPECIES
Ag 107.87 Ag.upf
Tm 168.93 Tm.upf
Sc 44.96 Sc.upf
ATOMIC_POSITIONS crystal
Ag 0.0000 0.5000 0.0000
Ag 0.0000 0.0000 0.5000
Ag 0.5000 0.0000 0.0000
Ag 0.5000 0.5000 0.5000
Tm 0.5000 0.5000 0.0000
Tm 0.5000 0.0000 0.5000
Sc 0.0000 0.0000 0.0000
CELL_PARAMETERS angstrom
5.6488 -0.2139 -2.1185
-2.8774 4.9942 -1.7947
-0.1233 0.2139 6.0317
! DOS(E_F): 5.770 states/eV per cell
! Space-group type: I4/mmm (139)
! Crystal system: tetragonal
! Energy: -3.8972 eV/atom

***

# 10
! CaYAg2C PBE relaxed; values from VASP
&SYSTEM
  ibrav = 0, nat = 5, ntyp = 4
/
ATOMIC_SPECIES
Ag 107.87 Ag.upf
Y 88.91 Y.upf
C 12.01 C.upf
Ca 40.08 Ca.upf
ATOMIC_POSITIONS crystal
Ag 0.5000 0.0000 0.0000
Ag 0.0000 0.0000 0.5000
Y 0.0000 0.5000 0.0000
C 0.0000 0.0000 0.0000
Ca 0.5000 0.5000 0.5000
CELL_PARAMETERS angstrom
4.7028 0.0000 0.0000
0.0000 4.7272 0.0000
0.0000 0.0000 4.7028
! DOS(E_F): 2.645 states/eV per cell
! Space-group type: P4/mmm (123)
! Crystal system: tetragonal
! Energy: -4.3617 eV/atom

***

# 11
! ReNiTeI2 PBE relaxed; values from VASP
&SYSTEM
  ibrav = 0, nat = 5, ntyp = 4
/
ATOMIC_SPECIES
I 126.90 I.upf
Ni 58.69 Ni.upf
Re 186.21 Re.upf
Te 127.60 Te.upf
ATOMIC_POSITIONS crystal
I 0.0000 0.5000 0.0000
I 0.5000 0.0000 0.0000
Ni 0.0000 0.0000 0.0000
Re 0.5000 0.5000 0.5000
Te 0.0000 0.0000 0.5000
CELL_PARAMETERS angstrom
-4.3559 1.7188 -2.1387
0.8836 -2.9201 -4.1466
-2.6766 -3.9936 2.2420
! DOS(E_F): 3.842 states/eV per cell
! Space-group type: P4/mmm (123)
! Distance to the lowest polymorph of the same formula: 60 meV/atom
! Crystal system: tetragonal
! Formation energy from raw total energies: 6.447 eV per formula unit

***

# 12
! KMgGeF5 PBE relaxed; values from VASP
&SYSTEM
  ibrav = 0, nat = 16, ntyp = 4
/
ATOMIC_SPECIES
F 19.00 F.upf
Ge 72.64 Ge.upf
Mg 24.30 Mg.upf
K 39.10 K.upf
ATOMIC_POSITIONS crystal
F 0.9011 0.2946 0.0596
F 0.9871 0.0129 0.7500
F 0.2208 0.3661 0.6249
F 0.2946 0.9011 0.5596
F 0.0129 0.9871 0.2500
F 0.6339 0.7792 0.8751
F 0.7054 0.0989 0.4404
F 0.7792 0.6339 0.3751
F 0.3661 0.2208 0.1249
F 0.0989 0.7054 0.9404
Ge 0.2769 0.7230 0.7500
Ge 0.7230 0.2769 0.2500
Mg 0.0000 0.0000 0.5000
Mg 0.0000 0.0000 0.0000
K 0.6785 0.3215 0.7500
K 0.3215 0.6785 0.2500
CELL_PARAMETERS angstrom
6.1624 0.2747 -0.2516
-1.5362 5.9741 -0.2516
-2.2429 -3.0295 7.4067
! DOS(E_F): 0.000 states/eV per cell
! Space-group type: C2/c (15)
! Crystal system: monoclinic
! Formation energy from raw total energies: -22.174 eV per formula unit

***

# 13
! Tb6Y2HoTm3 PBE relaxed; values from VASP
&SYSTEM
  ibrav = 0, nat = 12, ntyp = 4
/
ATOMIC_SPECIES
Tm 168.93 Tm.upf
Tb 158.93 Tb.upf
Y 88.91 Y.upf
Ho 164.93 Ho.upf
ATOMIC_POSITIONS crystal
Tm 0.5000 0.5000 0.5000
Tm 0.1666 0.8334 0.5000
Tm 0.8334 0.1666 0.5000
Tb 0.7519 0.7519 0.2520
Tb 0.2481 0.2481 0.7480
Tb 0.4170 0.0845 0.2521
Tb 0.9155 0.5830 0.7479
Tb 0.5830 0.9155 0.7479
Tb 0.0845 0.4170 0.2521
Y 0.6667 0.3333 0.0000
Y 0.3333 0.6667 0.0000
Ho 0.0000 0.0000 0.0000
CELL_PARAMETERS angstrom
-3.8075 -4.5377 1.5933
2.1859 0.2957 -5.7236
9.5616 -5.0716 4.4818
! DOS(E_F): 16.333 states/eV per cell
! Space-group type: C2/m (12)
! Crystal system: monoclinic
! Energy: -4.8721 eV/atom

***

# 14
! CsIn4Ag PBE relaxed; values from VASP
&SYSTEM
  ibrav = 0, nat = 12, ntyp = 3
/
ATOMIC_SPECIES
Ag 107.87 Ag.upf
In 114.82 In.upf
Cs 132.91 Cs.upf
ATOMIC_POSITIONS crystal
Ag 0.7457 0.5002 0.0005
Ag 0.2543 0.4998 0.9995
In 0.8648 0.3658 0.7315
In 0.4055 0.1449 0.8108
In 0.0000 0.8185 0.0000
In 0.5945 0.8551 0.1892
In 0.4055 0.6659 0.8108
In 0.1352 0.6342 0.2685
In 0.5945 0.3341 0.1892
In 0.0000 0.1815 0.0000
Cs 0.7873 0.7872 0.5744
Cs 0.2127 0.2128 0.4256
CELL_PARAMETERS angstrom
-1.4888 1.8820 4.7792
-7.2553 -1.8482 -1.5323
5.8429 -9.1545 2.4337
! DOS(E_F): 4.969 states/eV per cell
! Space-group type: C2/m (12)
! Crystal system: monoclinic
! Energy: -2.4777 eV/atom

***

# 15
! TbPmNiRu PBE relaxed; values from VASP
&SYSTEM
  ibrav = 0, nat = 4, ntyp = 4
/
ATOMIC_SPECIES
Ru 101.07 Ru.upf
Pm 145.00 Pm.upf
Tb 158.93 Tb.upf
Ni 58.69 Ni.upf
ATOMIC_POSITIONS crystal
Ru 0.7500 0.7500 0.7500
Pm 0.0000 0.0000 0.0000
Tb 0.5000 0.5000 0.5000
Ni 0.2500 0.2500 0.2500
CELL_PARAMETERS angstrom
-0.6678 4.5470 -1.6195
-2.8714 0.8176 -3.8510
-4.3116 2.1904 0.5970
! DOS(E_F): 3.188 states/eV per cell
! Space-group type: F-43m (216)
! Distance to the lowest polymorph of the same formula: 22 meV/atom
! Crystal system: cubic

***

# 16
! NiRu2Rh PBE relaxed; values from VASP
&SYSTEM
  ibrav = 0, nat = 4, ntyp = 3
/
ATOMIC_SPECIES
Ru 101.07 Ru.upf
Rh 102.91 Rh.upf
Ni 58.69 Ni.upf
ATOMIC_POSITIONS crystal
Ru 0.0811 0.0811 0.7568
Ru 0.2525 0.2525 0.2425
Rh 0.5003 0.5003 0.4991
Ni 0.6661 0.6661 0.0016
CELL_PARAMETERS angstrom
2.6834 0.0000 0.0000
1.3417 2.3239 0.0000
1.3417 0.7746 8.5851
! DOS(E_F): 6.072 states/eV per cell
! Space-group type: R3m (160)
! Distance to the lowest polymorph of the same formula: 51 meV/atom
! Crystal system: trigonal

***

# 17
! PrTh2Ni6 PBE relaxed; values from VASP
&SYSTEM
  ibrav = 0, nat = 9, ntyp = 3
/
ATOMIC_SPECIES
Pr 140.91 Pr.upf
Ni 58.69 Ni.upf
Th 232.04 Th.upf
ATOMIC_POSITIONS crystal
Pr 0.5000 0.5000 0.5000
Ni 0.1743 0.1319 0.5194
Ni 0.8257 0.8681 0.4806
Ni 0.1743 0.5194 0.1319
Ni 0.0000 0.8241 0.1759
Ni 0.8257 0.4806 0.8681
Ni 0.0000 0.1759 0.8241
Th 0.6466 0.8534 0.8534
Th 0.3534 0.1466 0.1466
CELL_PARAMETERS angstrom
3.6548 0.0000 0.0000
1.8274 7.3400 1.0483
1.8274 3.1118 6.7299
! DOS(E_F): 6.592 states/eV per cell
! Space-group type: Immm (71)
! Distance to the lowest polymorph of the same formula: 158 meV/atom
! Crystal system: orthorhombic

***

# 18
! Cd3InN PBE relaxed; values from VASP
&SYSTEM
  ibrav = 0, nat = 5, ntyp = 3
/
ATOMIC_SPECIES
N 14.01 N.upf
Cd 112.41 Cd.upf
In 114.82 In.upf
ATOMIC_POSITIONS crystal
N 0.0000 0.0000 0.0000
Cd 0.0000 0.0000 0.5000
Cd 0.5000 0.0000 0.0000
Cd 0.0000 0.5000 0.0000
In 0.5000 0.5000 0.5000
CELL_PARAMETERS angstrom
4.7198 0.0000 0.0000
0.0000 4.7198 0.0000
0.0000 0.0000 4.7198
! DOS(E_F): 3.476 states/eV per cell
! Space-group type: Pm-3m (221)
! Distance to the lowest polymorph of the same formula: 0 meV/atom
! Crystal system: cubic
! Formation energy from raw total energies: 2.339 eV per formula unit

***

# 19
! LiZnIn2 PBE relaxed; values from VASP
&SYSTEM
  ibrav = 0, nat = 4, ntyp = 3
/
ATOMIC_SPECIES
In 114.82 In.upf
Li 6.94 Li.upf
Zn 65.41 Zn.upf
ATOMIC_POSITIONS crystal
In 0.0000 0.4819 0.5006
In 0.0000 0.0181 0.9994
Li 0.5000 0.2500 0.2500
Zn 0.5000 0.7500 0.7500
CELL_PARAMETERS angstrom
4.1259 0.0000 0.0000
0.0000 3.2103 0.2930
0.0000 2.8655 6.4643
! DOS(E_F): 1.008 states/eV per cell
! Space-group type: P2/m (10)
! Crystal system: monoclinic
! Energy: -2.2570 eV/atom

***

# 20
! MgOsSe2 PBE relaxed; values from VASP
&SYSTEM
  ibrav = 0, nat = 4, ntyp = 3
/
ATOMIC_SPECIES
Se 78.96 Se.upf
Mg 24.30 Mg.upf
Os 190.23 Os.upf
ATOMIC_POSITIONS crystal
Se 0.0948 0.0948 0.0948
Se 0.9052 0.9052 0.9052
Mg 0.5000 0.5000 0.5000
Os 0.0000 0.0000 0.0000
CELL_PARAMETERS angstrom
1.9030 0.0000 8.2878
-0.9515 1.6480 8.2878
-0.9515 -1.6480 8.2878
! DOS(E_F): 2.627 states/eV per cell
! Space-group type: R-3m (166)
! Crystal system: trigonal
! Formation energy from raw total energies: 1.310 eV per formula unit

***

# 21
! Li3Tm5H12 PBE relaxed; values from VASP
&SYSTEM
  ibrav = 0, nat = 80, ntyp = 3
/
ATOMIC_SPECIES
H 1.01 H.upf
Tm 168.93 Tm.upf
Li 6.94 Li.upf
ATOMIC_POSITIONS crystal
H 0.3487 0.4427 0.2719
H 0.9427 0.6708 0.5940
H 0.8292 0.4060 0.5573
H 0.3292 0.2719 0.9232
H 0.6513 0.0940 0.4232
H 0.9060 0.3487 0.0768
H 0.4060 0.5768 0.8487
H 0.5573 0.6513 0.2281
H 0.0573 0.7281 0.1513
H 0.3487 0.9060 0.5768
H 0.1513 0.9232 0.5940
H 0.9427 0.2719 0.8487
H 0.5573 0.9060 0.8292
H 0.4060 0.8292 0.0573
H 0.2719 0.3292 0.4232
H 0.7719 0.9232 0.8292
H 0.9232 0.1513 0.0940
H 0.0573 0.3292 0.4060
H 0.5940 0.1708 0.9427
H 0.1708 0.5940 0.4427
H 0.8487 0.0768 0.4060
H 0.0940 0.4427 0.6708
H 0.5940 0.4232 0.1513
H 0.2281 0.0768 0.1708
H 0.7719 0.8487 0.4427
H 0.9232 0.7719 0.3292
H 0.8292 0.4232 0.7719
H 0.6513 0.5573 0.7281
H 0.8487 0.7719 0.9427
H 0.4232 0.8292 0.2719
H 0.3292 0.0573 0.9060
H 0.5768 0.1708 0.7281
H 0.2281 0.1513 0.5573
H 0.9060 0.5573 0.3292
H 0.1513 0.2281 0.0573
H 0.0940 0.6513 0.9232
H 0.2719 0.9427 0.3487
H 0.1708 0.5768 0.2281
H 0.0768 0.8487 0.9060
H 0.0768 0.2281 0.6708
H 0.4427 0.3487 0.7719
H 0.6708 0.7281 0.0768
H 0.4232 0.5940 0.6513
H 0.7281 0.0573 0.6513
H 0.6708 0.9427 0.0940
H 0.7281 0.6708 0.5768
H 0.5768 0.4060 0.3487
H 0.4427 0.0940 0.1708
Tm 0.0000 0.5000 0.0000
Tm 0.5000 0.5000 0.0000
Tm 0.5000 0.0000 0.0000
Tm 0.0000 0.0000 0.5000
Tm 0.8750 0.6250 0.7500
Tm 0.7500 0.6250 0.3750
Tm 0.3750 0.1250 0.7500
Tm 0.2500 0.8750 0.1250
Tm 0.7500 0.1250 0.8750
Tm 0.1250 0.7500 0.3750
Tm 0.6250 0.7500 0.8750
Tm 0.8750 0.2500 0.6250
Tm 0.5000 0.0000 0.5000
Tm 0.2500 0.3750 0.6250
Tm 0.1250 0.3750 0.2500
Tm 0.3750 0.2500 0.1250
Tm 0.0000 0.5000 0.5000
Tm 0.6250 0.8750 0.2500
Tm 0.0000 0.0000 0.0000
Tm 0.5000 0.5000 0.5000
Li 0.3750 0.7500 0.6250
Li 0.1250 0.2500 0.8750
Li 0.6250 0.2500 0.3750
Li 0.7500 0.3750 0.1250
Li 0.8750 0.1250 0.2500
Li 0.6250 0.3750 0.7500
Li 0.8750 0.7500 0.1250
Li 0.1250 0.8750 0.7500
Li 0.7500 0.8750 0.6250
Li 0.2500 0.1250 0.3750
Li 0.2500 0.6250 0.8750
Li 0.3750 0.6250 0.2500
CELL_PARAMETERS angstrom
10.6185 0.0000 0.0000
-3.5395 10.0113 0.0000
-3.5395 -5.0056 8.6700
! DOS(E_F): 10.329 states/eV per cell
! Space-group type: Ia-3d (230)
! Crystal system: cubic
! Energy: -3.8504 eV/atom

***

# 22
! SiAgBr3 PBE relaxed; values from VASP
&SYSTEM
  ibrav = 0, nat = 5, ntyp = 3
/
ATOMIC_SPECIES
Br 79.90 Br.upf
Si 28.09 Si.upf
Ag 107.87 Ag.upf
ATOMIC_POSITIONS crystal
Br 0.5000 0.0000 0.0000
Br 0.0000 0.5000 0.0000
Br 0.0000 0.0000 0.5000
Si 0.5000 0.5000 0.5000
Ag 0.0000 0.0000 0.0000
CELL_PARAMETERS angstrom
-2.1550 4.2597 2.2935
-3.9671 -2.9930 1.8313
2.7691 -0.9728 4.4085
! DOS(E_F): 3.491 states/eV per cell
! Space-group type: Pm-3m (221)
! Distance to the lowest polymorph of the same formula: 422 meV/atom
! Crystal system: cubic
! Formation energy from raw total energies: 1.872 eV per formula unit

***

# 23
! As2PtAu PBE relaxed; values from VASP
&SYSTEM
  ibrav = 0, nat = 4, ntyp = 3
/
ATOMIC_SPECIES
As 74.92 As.upf
Pt 195.08 Pt.upf
Au 196.97 Au.upf
ATOMIC_POSITIONS crystal
As 0.2500 0.7500 0.5000
As 0.0000 0.0000 0.0000
Pt 0.7500 0.2500 0.5000
Au 0.5000 0.5000 0.0000
CELL_PARAMETERS angstrom
-2.3618 -1.9823 -4.1808
-0.7536 -5.1303 0.3142
-0.9867 4.0051 3.1579
! DOS(E_F): 1.915 states/eV per cell
! Space-group type: I-4m2 (119)
! Distance to the lowest polymorph of the same formula: 243 meV/atom
! Crystal system: tetragonal